The following is a PBE calculation of Zr2InGa after structural relaxation, from the Alexandria database.

Output
Formation energy from the elements = -0.4362 eV/atom
ΔE to the lowest computed polymorph = 0 meV per atom

a b c (Å): 3.0978 3.0978 8.5829
angles (deg): 90.00 90.00 90.00
Space group P4/mmm (No. 123)
One atom of each set of equivalent atoms:
Zr1 0.0000 0.0000 0.2263 (multiplicity 2)
In1 0.5000 0.5000 0.5000 (multiplicity 1)
Ga1 0.5000 0.5000 0.0000 (multiplicity 1)

---

The following is a PBE calculation of NiOs2Se after structural relaxation, from the Alexandria database.

Output
Uncorrected formation energy = 433 meV per atom

a b c (Å): 2.8457 3.6042 5.7031
angles (deg): 90.00 90.00 90.00
Space group Pmm2 (No. 25)
One atom of each set of equivalent atoms:
Ni1 0.0000 0.0000 0.0000 (multiplicity 1)
Os1 0.0000 0.0000 0.4708 (multiplicity 1)
Os2 0.5000 0.5000 0.2561 (multiplicity 1)
Se1 0.5000 0.5000 0.8148 (multiplicity 1)

---

The following is a PBE calculation of Nd2TmAl after structural relaxation, from the Alexandria database.

Output
Formation energy from the elements = -0.1306 eV/atom
ΔE to the lowest computed polymorph = 42 meV per atom

a b c (Å): 3.5715 3.5715 9.2409
angles (deg): 90.00 90.00 90.00
Space group P4/mmm (No. 123)
One atom of each set of equivalent atoms:
Nd1 0.0000 0.0000 0.2177 (multiplicity 2)
Tm1 0.5000 0.5000 0.5000 (multiplicity 1)
Al1 0.5000 0.5000 0.0000 (multiplicity 1)

---

The following is a PBE calculation of Nd2CuPb after structural relaxation, from the Alexandria database.

Output
Formation energy from the elements = 0.1032 eV/atom

a b c (Å): 3.6171 3.6171 32.3432
angles (deg): 90.00 90.00 120.00
Space group R-3m (No. 166, hexagonal axes)
One atom of each set of equivalent atoms:
Nd1 0.0000 0.0000 0.1017 (multiplicity 6)
Cu1 0.0000 0.0000 0.5000 (multiplicity 3)
Pb1 0.0000 0.0000 0.0000 (multiplicity 3)

---

The following is a PBE calculation of Dy2SbSe after structural relaxation, from the Alexandria database.

Output
Uncorrected formation energy = -1446 meV per atom
ΔE to the lowest computed polymorph = 0 meV per atom

a b c (Å): 4.2280 6.0133 8.4720
angles (deg): 90.00 90.00 90.00
Space group Pmmn (No. 59, origin choice 2)
One atom of each set of equivalent atoms:
Dy1 0.2500 0.2500 0.1170 (multiplicity 2)
Dy2 0.2500 0.2500 0.6345 (multiplicity 2)
Sb1 0.2500 0.7500 0.6266 (multiplicity 2)
Se1 0.2500 0.7500 0.1219 (multiplicity 2)

---

The following is a PBE calculation of Nd2Tm3Sb2 after structural relaxation, from the Alexandria database.

Output
Uncorrected formation energy = -643 meV per atom

a b c (Å): 12.1378 4.2982 8.6365
angles (deg): 90.00 110.68 90.00
Space group C2/m (No. 12)
One atom of each set of equivalent atoms:
Nd1 0.1339 0.0000 0.2920 (multiplicity 4)
Tm1 0.0000 0.5000 0.5000 (multiplicity 2)
Tm2 0.1249 0.5000 0.9460 (multiplicity 4)
Sb1 0.1673 0.0000 0.7037 (multiplicity 4)